This record from the Alexandria database describes a relaxed structure of Na3Ce3NiO8. The functional is GGA+U.

Computed properties:
For the calculated total energy, the calculation gives -6.71 eV per atom. Its crystal system is trigonal. As for the total magnetization: 3.09 Bohr magnetons per cell. As for the calculated volume: 228 Å³/cell.

a b c (Å): 6.9017 6.9002 6.8116
angles (deg): 120.47 90.00 120.01
Fractional coordinates of all 15 atoms:
O 0.7727 0.0302 0.3033
O 0.7729 0.5459 0.3035
O 0.7426 0.9698 0.6967
O 0.7405 0.4810 0.7212
O 0.2574 0.0302 0.3033
O 0.2595 0.5190 0.2788
O 0.2273 0.9698 0.6967
O 0.2271 0.4541 0.6965
Na 0.0000 0.0000 0.0000
Na 0.0000 0.5000 0.0000
Na 0.5000 0.5000 0.0000
Ni 0.0000 0.0000 0.5000
Ce 0.0000 0.5000 0.5000
Ce 0.5000 0.0000 0.5000
Ce 0.5000 0.5000 0.5000